LaPmSmN3 (PBE, optimized geometry); theoretical density = 7.6 g/cm3; raw formation energy = -1.260 eV/atom; SG = P2_1/m
1.0
6.248 0.000 0.000
0.000 3.580 0.000
-1.627 0.000 9.299
La Pm Sm N
2 2 2 6
direct
0.177 0.250 0.210
0.823 0.750 0.790
0.337 0.250 0.864
0.663 0.750 0.136
0.268 0.750 0.547
0.732 0.250 0.453
0.030 0.250 0.669
0.264 0.750 0.007
0.472 0.750 0.349
0.528 0.250 0.651
0.736 0.250 0.993
0.970 0.750 0.331